Computed, not measured: a geometry-optimized La2Pr5Tm12 structure at the GGA-PBE level of DFT.

Computed properties:
* polymorph energy (0 for the lowest one): 0 meV/atom
* energy of formation from the pure elements: 31 meV per atom
* total magnetic moment: 0.000 μB/atom
* energy: -4.57 eV/atom

Cell: 6.1655 8.0146 12.9187 Å, 90.16 103.56 97.44°
Last column: nearest neighbours and their distance in Å.
Space group P-1 (No. 2)
One atom of each set of equivalent atoms:
La (0.2373, 0.4748, 0.3170)  10 Tm 3.55-3.61, 2 Pr 3.59
Pr (0.0282, 0.0511, 0.3682)  10 Tm 3.53-3.59, 1 Pr 3.59, 1 La 3.59
Pr (0.2903, 0.5783, 0.0528)  3 Pr 3.55-3.59, 8 Tm 3.57-3.62, 1 La 3.59
Pr (0.5000, 0.0000, 0.0000)  10 Tm 3.54-3.59, 2 Pr 3.59
Tm (0.0814, 0.1554, 0.1056)  5 Pr 3.54-3.62, 6 Tm 3.56-3.60, 1 La 3.61
Tm (0.1312, 0.2609, 0.8408)  5 Pr 3.55-3.60, 6 Tm 3.56-3.60, 1 La 3.59
Tm (0.1846, 0.3679, 0.5793)  3 La 3.55-3.57, 7 Tm 3.57-3.60, 2 Pr 3.57-3.59
Tm (0.3411, 0.6857, 0.7888)  6 Tm 3.55-3.60, 2 La 3.57-3.58, 4 Pr 3.58-3.59
Tm (0.3939, 0.7905, 0.5266)  7 Tm 3.55-3.59, 3 Pr 3.56-3.57, 2 La 3.57-3.59
Tm (0.4493, 0.8975, 0.2646)  4 Pr 3.53-3.61, 7 Tm 3.55-3.58, 1 La 3.59